Run i
# Nd4Sb2N

An optimized crystal structure of Nd4Sb2N (PBE, Alexandria via LeMat-Bulk).

CIF file:
```
data_Nd4Sb2N
_symmetry_space_group_name_H-M 'I 4/m m m'
_symmetry_Int_Tables_number 139
_symmetry_space_group_name_Hall '-I 4 2'
_cell_length_a 4.8324
_cell_length_b 4.8324
_cell_length_c 16.7177
_cell_angle_alpha 90.00
_cell_angle_beta 90.00
_cell_angle_gamma 90.00
loop_
_atom_site_label
_atom_site_type_symbol
_atom_site_fract_x
_atom_site_fract_y
_atom_site_fract_z
_atom_site_occupancy
Nd1 Nd 0.0000 0.0000 0.1652 1
Nd2 Nd 0.0000 0.5000 0.0000 1
Sb1 Sb 0.0000 0.0000 0.3581 1
N1 N 0.0000 0.0000 0.0000 1
```

---

Run ii
# Nd4Sb2N

An optimized crystal structure of Nd4Sb2N (PBE, Alexandria via LeMat-Bulk).

CIF file:
```
data_Nd4Sb2N
_symmetry_space_group_name_H-M 'C 1 2/m 1'
_symmetry_Int_Tables_number 12
_cell_length_a 12.3459
_cell_length_b 4.0807
_cell_length_c 8.3637
_cell_angle_alpha 90.00
_cell_angle_beta 115.58
_cell_angle_gamma 90.00
loop_
_symmetry_equiv_pos_as_xyz
'x,y,z'
'-x,-y,-z'
'-x,y,-z'
'x,-y,z'
'x+1/2,y+1/2,z'
'-x+1/2,-y+1/2,-z'
'-x+1/2,y+1/2,-z'
'x+1/2,-y+1/2,z'
loop_
_atom_site_label
_atom_site_type_symbol
_atom_site_fract_x
_atom_site_fract_y
_atom_site_fract_z
_atom_site_occupancy
Nd1 Nd 0.0569 0.0000 0.3263 1
Nd2 Nd 0.1458 0.5000 0.0586 1
Sb1 Sb 0.1565 0.5000 0.6759 1
N1 N 0.0000 0.0000 0.0000 1
```

---

If we sort the structures by their calculated energies, the order from most to least stable is run i, run ii.